1.
## Sc3FeAg (PBE)

Data for an optimized crystal structure of Sc3FeAg.

abc: 4.7951 4.7951 4.7951
angles: 90.00 90.00 90.00
Element x y z (fractional)
Sc (0.5000, 0.0000, 0.0000)
Sc (0.0000, 0.5000, 0.0000)
Sc (0.0000, 0.0000, 0.5000)
Fe (0.0000, 0.0000, 0.0000)
Ag (0.5000, 0.5000, 0.5000)

The formation energy is 35 meV/atom.

2.
## CsZnRuAu2 (PBE)

Data for an optimized crystal structure of CsZnRuAu2.

abc: 6.1234 6.1234 5.3298
angles: 90.00 90.00 90.00
Site moments in Bohr magnetons follow the coordinates.
Element x y z (fractional)
Au (0.0000, 0.5000, 0.0000)  0.03
Au (0.5000, 0.0000, 0.0000)  0.03
Zn (0.5000, 0.5000, 0.5000)  0.03
Cs (0.0000, 0.0000, 0.0000)  -0.01
Ru (0.0000, 0.0000, 0.5000)  1.96

The formation energy is 1912 meV/atom.

3.
## TbHoTmN3 (PBE)

Data for an optimized crystal structure of TbHoTmN3.

abc: 3.4187 5.9329 8.9265
angles: 101.30 90.00 90.00
Element x y z (fractional)
N (0.2500, 0.7517, 0.4979)
N (0.7500, 0.5373, 0.1714)
N (0.2500, 0.9638, 0.8430)
N (0.2500, 0.4627, 0.8286)
N (0.7500, 0.2483, 0.5021)
N (0.7500, 0.0362, 0.1570)
Tb (0.7500, 0.6565, 0.6975)
Tb (0.2500, 0.3435, 0.3025)
Tm (0.7500, 0.8479, 0.3622)
Tm (0.2500, 0.1521, 0.6378)
Ho (0.7500, 0.2313, 0.9545)
Ho (0.2500, 0.7687, 0.0455)

The calculation puts the total energy at -0.2924 hartree per atom.

4.
## ZrTl2ReB (PBE)

Data for an optimized crystal structure of ZrTl2ReB.

abc: 4.6055 4.6620 4.6055
angles: 90.00 90.00 90.00
Site moments in Bohr magnetons follow the coordinates.
Element x y z (fractional)
Re (0.5000, 0.5000, 0.5000)  1.73
Zr (0.0000, 0.5000, 0.0000)  -0.16
Tl (0.5000, 0.0000, 0.0000)  -0.01
Tl (0.0000, 0.0000, 0.5000)  -0.01
B (0.0000, 0.0000, 0.0000)  0.04

The formation energy is 1138 meV/atom.

5.
## TlCu2BrCl2 (PBE)

Data for an optimized crystal structure of TlCu2BrCl2.

abc: 5.2628 7.6724 8.2380
angles: 110.65 90.00 90.00
Element x y z (fractional)
Tl (0.7500, 0.3258, 0.6392)
Tl (0.2500, 0.6742, 0.3608)
Cl (0.2500, 0.6118, 0.7232)
Cl (0.7500, 0.8910, 0.6041)
Cl (0.7500, 0.3882, 0.2768)
Cl (0.2500, 0.1090, 0.3959)
Cu (0.4993, 0.8861, 0.8384)
Cu (0.9993, 0.1139, 0.1616)
Cu (0.5007, 0.1139, 0.1616)
Cu (0.0007, 0.8861, 0.8384)
Br (0.2500, 0.1884, 0.9267)
Br (0.7500, 0.8116, 0.0733)

The calculation puts the total energy at -0.1182 hartree per atom.

6.
## Dy3AlZn2 (PBE)

Data for an optimized crystal structure of Dy3AlZn2.

abc: 3.5586 3.5586 10.8803
angles: 90.00 90.00 90.00
Element x y z (fractional)
Zn (0.5000, 0.5000, 0.8368)
Zn (0.5000, 0.5000, 0.1632)
Al (0.5000, 0.5000, 0.5000)
Dy (0.0000, 0.0000, 0.0000)
Dy (0.0000, 0.0000, 0.6716)
Dy (0.0000, 0.0000, 0.3284)

The formation energy is -362 meV/atom.

7.
## Ca3ScSe (PBE)

Data for an optimized crystal structure of Ca3ScSe.

abc: 5.8390 5.8390 5.8390
angles: 90.00 90.00 90.00
Site moments in Bohr magnetons follow the coordinates.
Element x y z (fractional)
Sc (0.0000, 0.0000, 0.0000)  1.39
Ca (0.0000, 0.5000, 0.0000)  0.28
Ca (0.5000, 0.0000, 0.0000)  0.21
Ca (0.0000, 0.0000, 0.5000)  0.27
Se (0.5000, 0.5000, 0.5000)  0.08

The calculation puts the total energy at -0.0946 hartree per atom.

8.
## TbPtAu (PBE)

Data for an optimized crystal structure of TbPtAu.

abc: 3.9900 4.5056 7.1336
angles: 90.00 106.24 90.00
Element x y z (fractional)
Au (0.9275, 0.2500, 0.8522)
Au (0.0725, 0.7500, 0.1478)
Pt (0.2582, 0.2500, 0.5170)
Pt (0.7418, 0.7500, 0.4830)
Tb (0.3922, 0.7500, 0.7826)
Tb (0.6078, 0.2500, 0.2174)

The formation energy is -890 meV/atom.

9.
## La6P2Se3Cl (PBE)

Data for an optimized crystal structure of La6P2Se3Cl.

abc: 4.2658 8.5966 9.5652
angles: 103.07 102.88 90.00
Element x y z (fractional)
P (0.1658, 0.3313, 0.3316)
P (0.8342, 0.6687, 0.6684)
La (0.0055, 0.2565, 0.0109)
La (0.9945, 0.7435, 0.9891)
La (0.3307, 0.9017, 0.6613)
La (0.6713, 0.5739, 0.3425)
La (0.3287, 0.4261, 0.6575)
La (0.6693, 0.0983, 0.3387)
Se (0.8355, 0.1660, 0.6711)
Se (0.1645, 0.8340, 0.3289)
Se (0.5000, 0.5000, 0.0000)
Cl (0.5000, 0.0000, 0.0000)

The calculation puts the total energy at -0.2293 hartree per atom.

10.
## AlSbMo2 (PBE)

Data for an optimized crystal structure of AlSbMo2.

abc: 4.3238 2.9565 5.5233
angles: 81.71 90.00 90.00
Element x y z (fractional)
Mo (0.0000, 0.0418, 0.9755)
Mo (0.0000, 0.4582, 0.5245)
Al (0.5000, 0.7500, 0.7500)
Sb (0.5000, 0.2500, 0.2500)

The calculation puts the total energy at -0.2616 hartree per atom.

11.
## Pr4BiTe2As (PBE)

Data for an optimized crystal structure of Pr4BiTe2As.

abc: 4.4829 7.8332 7.8421
angles: 70.80 90.00 90.00
Element x y z (fractional)
Pr (0.5000, 0.7283, 0.2714)
Pr (0.0000, 0.2624, 0.2618)
Pr (0.5000, 0.2717, 0.7286)
Pr (0.0000, 0.7376, 0.7382)
Te (0.5000, 0.0000, 0.5000)
Te (0.0000, 0.0000, 0.0000)
As (0.0000, 0.5000, 0.5000)
Bi (0.5000, 0.5000, 0.0000)

The calculation puts the total energy at -0.2060 hartree per atom.

12.
## KSnF3 (PBE)

Data for an optimized crystal structure of KSnF3.

abc: 4.5193 4.8956 9.4672
angles: 90.00 88.26 90.00
Element x y z (fractional)
Sn (0.7797, 0.6099, 0.4524)
Sn (0.3199, 0.1097, 0.7657)
K (0.2924, 0.0783, 0.2517)
K (0.8069, 0.5780, 0.9663)
F (0.7839, 0.1945, 0.3953)
F (0.7930, 0.7022, 0.2343)
F (0.8162, 0.0848, 0.8194)
F (0.2830, 0.5851, 0.3985)
F (0.3153, 0.6947, 0.8231)
F (0.3061, 0.2025, 0.9837)

The calculation puts the total energy at -0.1717 hartree per atom.

Taking the records one at a time from the top gives magnetic moment values of 0.0 2.4 0.0 1.8 0.0 0.0 4.6 0.0 0.0 0.0 0.0 0.0 μB/f.u..